Run i
Mg2CuRe: optimized geometry, PBE.

Lattice parameters (Å, degrees): 4.9298 4.9298 4.9298 133.11 133.11 68.49
Last column: nearest neighbours and their distance in Å.
Element x y z (fractional)
Mg: 0.0000 0.0000 0.0000  4 Re 2.77, 4 Mg 2.83, 4 Cu 2.83
Cu: 0.7500 0.2500 0.5000  8 Mg 2.77-2.83, 4 Re 2.83
Mg: 0.2500 0.7500 0.5000  4 Cu 2.77, 4 Mg 2.83, 4 Re 2.83
Re: 0.5000 0.5000 0.0000  8 Mg 2.77-2.83, 4 Cu 2.83

Run ii
Mg2CuRe: optimized geometry, PBE.

Lattice parameters (Å, degrees): 9.2805 9.2805 9.2805 17.53 17.53 17.53
Last column: nearest neighbours and their distance in Å.
Element x y z (fractional)
Cu: 0.7500 0.7500 0.7500  6 Mg 2.75, 6 Cu 2.83
Mg: 0.4974 0.4974 0.4974  3 Cu 2.75, 6 Mg 2.83, 3 Re 2.87
Re: 0.2500 0.2500 0.2500  6 Re 2.83, 6 Mg 2.87
Mg: 0.0026 0.0026 0.0026  3 Cu 2.75, 6 Mg 2.83, 3 Re 2.87

Out of the structures above, which one is the most stable? Solution: run ii.